Compound: CrGeRu2O
Source: Alexandria via LeMat-Bulk
Functional: GGA+U
Structure: relaxed

Results
ρ = 7.91 g cm⁻³
calculated total energy = -34.270 eV for the cell shown

a = 4.079 Å, b = 4.079 Å, c = 4.324 Å
α = 90.00°, β = 90.00°, γ = 90.00°
Positions (direct):
1 Cr 0.000 0.000 0.000
2 Ge 0.500 0.500 0.000
3 Ru 0.000 0.500 0.500
4 Ru 0.500 0.000 0.500
5 O 0.500 0.500 0.500